The following is a PBE+U calculation of MnBi3O7 after structural relaxation, from Alexandria via LeMat-Bulk.

Cell lengths 6.5733, 6.5733, 7.5270 Å; angles 90.00, 90.00, 107.47 degrees
Last column: nearest neighbours and their distance in Å.
Fractional coordinates of all 22 atoms:
Mn 0.0013 0.0013 0.0000  6 O 1.93-2.01
Mn 0.9987 0.9987 0.5000  6 O 1.93-2.01
Bi 0.0024 0.4616 0.2398  6 O 2.25-2.48
Bi 0.4562 0.4562 0.5000  6 O 2.40-2.44
Bi 0.4616 0.0024 0.7602  6 O 2.25-2.48
Bi 0.5384 0.9976 0.2602  6 O 2.25-2.48
Bi 0.5438 0.5438 0.0000  6 O 2.40-2.44
Bi 0.9976 0.5384 0.7398  6 O 2.25-2.48
O 0.0443 0.3029 0.9659  1 Mn 1.93
O 0.0591 0.9409 0.7500  2 Mn 1.98
O 0.0763 0.3171 0.5291  1 Mn 2.01
O 0.3029 0.0443 0.0341  1 Mn 1.93
O 0.3171 0.0763 0.4709  1 Mn 2.01
O 0.3565 0.6435 0.7500  4 Bi 2.25-2.44
O 0.3639 0.6361 0.2500  4 Bi 2.31-2.40
O 0.6361 0.3639 0.7500  4 Bi 2.31-2.40
O 0.6435 0.3565 0.2500  4 Bi 2.25-2.44
O 0.6829 0.9237 0.9709  1 Mn 2.01
O 0.6971 0.9557 0.5341  1 Mn 1.93
O 0.9237 0.6829 0.0291  1 Mn 2.01
O 0.9409 0.0591 0.2500  2 Mn 1.98
O 0.9557 0.6971 0.4659  1 Mn 1.93

As for the space-group type: C222_1. As for the final energy: -133.63 eV per cell. The density of states at the Fermi level is 0.408 states/eV per atom.